# 1
An optimized crystal structure of CdIn2Ag4. Source: the Alexandria database, functional PBE.

Results
- DFT formation energy: 2 kJ/mol of atoms
- Mass density: 8.92 g/cm³
- Calculated total energy: -2.5219 eV/atom
- DOS(E_F): 4.657 states/eV per cell
- Distance to the lowest polymorph of the same formula: 30 meV/atom

```
CdIn2Ag4
1.0
5.425 0.000 -0.248
0.000 5.678 0.000
-2.353 0.000 9.452
Cd In Ag
2 4 8
Direct
0.838 0.250 0.818 Cd
0.162 0.750 0.182 Cd
0.384 0.250 0.004 In
0.675 0.750 0.569 In
0.616 0.750 0.996 In
0.325 0.250 0.431 In
0.109 0.750 0.463 Ag
0.891 0.250 0.537 Ag
0.975 0.250 0.133 Ag
0.656 0.997 0.276 Ag
0.025 0.750 0.867 Ag
0.656 0.503 0.276 Ag
0.344 0.003 0.724 Ag
0.344 0.497 0.724 Ag
```

***

# 2
An optimized crystal structure of GaS2ICl. Source: the Alexandria database, functional PBE.

Results
- Mass density: 3.35 g/cm³
- Calculated total energy: -2.5302 eV/atom
- DOS(E_F): 2.622 states/eV per cell
- Uncorrected formation energy: 0.405 eV/atom
- Distance to the lowest polymorph of the same formula: 223 meV/atom

```
GaS2ICl
1.0
5.154 0.000 0.000
0.000 5.154 0.000
0.000 0.000 5.528
Ga Cl I S
1 1 1 2
Direct
0.500 0.500 0.500 Ga
0.000 0.000 0.500 Cl
0.000 0.000 0.000 I
0.500 0.000 0.000 S
0.000 0.500 0.000 S
```

***

# 3
An optimized crystal structure of BaMoSCl2. Source: the Alexandria database, functional PBE.

Results
- Mass density: 2.70 g/cm³
- Calculated total energy: -4.0795 eV/atom
- DOS(E_F): 5.374 states/eV per cell
- Uncorrected formation energy: 0.035 eV/atom
- Distance to the lowest polymorph of the same formula: 1078 meV/atom

```
BaMoSCl2
1.0
-2.801 5.010 0.920
-2.600 -0.503 -5.175
-4.615 -3.060 2.616
Mo Cl S Ba
1 2 1 1
Direct
0.500 0.500 0.500 Mo
0.000 0.500 0.000 Cl
0.500 0.000 0.000 Cl
0.000 0.000 0.500 S
0.000 0.000 0.000 Ba
```

***

# 4
An optimized crystal structure of Ca2CoPdN. Source: the Alexandria database, functional PBE.

Results
- Mass density: 4.84 g/cm³
- Calculated total energy: -5.5393 eV/atom
- DOS(E_F): 2.034 states/eV per cell
- Uncorrected formation energy: -0.614 eV/atom

```
Ca2CoPdN
1.0
5.043 0.000 0.000
0.000 5.043 0.000
0.000 0.000 3.504
Ca Co N Pd
2 1 1 1
Direct
0.500 0.000 0.000 Ca
0.000 0.500 0.000 Ca
0.000 0.000 0.500 Co
0.000 0.000 0.000 N
0.500 0.500 0.500 Pd
```

***

# 5
An optimized crystal structure of Tb2DyPb. Source: the Alexandria database, functional PBE.

Results
- DFT formation energy: -20 kJ/mol of atoms
- Mass density: 9.30 g/cm³
- Calculated total energy: -4.6005 eV/atom
- DOS(E_F): 4.236 states/eV per cell
- Distance to the lowest polymorph of the same formula: 81 meV/atom

```
Tb2DyPb
1.0
-1.815 3.112 0.329
-3.046 -1.669 -1.011
-1.861 -2.034 8.964
Tb Pb Dy
2 1 1
Direct
0.000 0.000 0.765 Tb
0.000 0.000 0.235 Tb
0.500 0.500 0.000 Pb
0.500 0.500 0.500 Dy
```

***

# 6
An optimized crystal structure of KNiSb2. Source: the Alexandria database, functional PBE.

Results
- Mass density: 5.63 g/cm³
- Calculated total energy: -3.3447 eV/atom
- DOS(E_F): 3.389 states/eV per cell
- Uncorrected formation energy: 0.436 eV/atom
- Distance to the lowest polymorph of the same formula: 728 meV/atom

```
KNiSb2
1.0
-0.762 -0.244 -5.159
4.013 -0.995 -3.187
0.297 -4.591 -2.469
Ni Sb K
1 2 1
Direct
0.750 0.750 0.750 Ni
0.000 0.000 0.000 Sb
0.250 0.250 0.250 Sb
0.500 0.500 0.500 K
```

***

# 7
An optimized crystal structure of CsVW3. Source: the Alexandria database, functional PBE.

Results
- DFT formation energy: 224 kJ/mol of atoms
- Mass density: 11.12 g/cm³
- Calculated total energy: -7.4431 eV/atom
- DOS(E_F): 8.387 states/eV per cell
- Distance to the lowest polymorph of the same formula: 0 meV/atom

```
CsVW3
1.0
-0.799 -3.664 2.978
4.688 -0.256 0.943
-0.562 3.072 3.629
Cs W V
1 3 1
Direct
0.500 0.500 0.500 Cs
0.000 0.000 0.500 W
0.000 0.500 0.000 W
0.500 0.000 0.000 W
0.000 0.000 0.000 V
```

***

# 8
An optimized crystal structure of Zr6Co5Os. Source: the Alexandria database, functional PBE.

Results
- DFT formation energy: -31 kJ/mol of atoms
- Mass density: 8.59 g/cm³
- Calculated total energy: -8.4920 eV/atom
- DOS(E_F): 9.616 states/eV per cell

```
Zr6Co5Os
1.0
4.458 0.002 -0.938
-0.003 6.420 -0.001
-0.843 0.000 7.148
Zr Os Co
6 1 5
Direct
0.168 0.252 0.336 Zr
0.832 0.252 0.664 Zr
0.168 0.748 0.336 Zr
0.500 0.253 0.000 Zr
0.832 0.748 0.664 Zr
0.500 0.747 0.000 Zr
0.000 0.000 0.000 Os
0.000 0.500 0.000 Co
0.333 0.000 0.666 Co
0.335 0.500 0.669 Co
0.665 0.500 0.331 Co
0.667 0.000 0.334 Co
```

***

# 9
An optimized crystal structure of NdAgHg2. Source: the Alexandria database, functional PBE.

Results
- DFT formation energy: -23 kJ/mol of atoms
- Mass density: 11.33 g/cm³
- Calculated total energy: -2.2944 eV/atom
- DOS(E_F): 2.931 states/eV per cell

```
NdAgHg2
1.0
3.605 0.000 0.000
0.000 3.605 0.000
0.000 0.000 7.370
Nd Hg Ag
1 2 1
Direct
0.500 0.500 0.500 Nd
0.000 0.000 0.221 Hg
0.000 0.000 0.779 Hg
0.500 0.500 0.000 Ag
```

***

# 10
An optimized crystal structure of Tc2PW. Source: the Alexandria database, functional PBE.

Results
- DFT formation energy: 10 kJ/mol of atoms
- Mass density: 11.97 g/cm³
- Calculated total energy: -9.6675 eV/atom
- DOS(E_F): 2.743 states/eV per cell

```
Tc2PW
1.0
-1.838 1.838 4.219
1.838 -1.838 4.219
1.838 1.838 -4.219
P Tc W
1 2 1
Direct
0.750 0.250 0.500 P
0.000 0.000 0.000 Tc
0.250 0.750 0.500 Tc
0.500 0.500 0.000 W
```

***

# 11
An optimized crystal structure of PrHoGa2Ru2. Source: the Alexandria database, functional PBE.

Results
- DFT formation energy: -44 kJ/mol of atoms
- Mass density: 8.69 g/cm³
- Calculated total energy: -6.1132 eV/atom
- DOS(E_F): 2.976 states/eV per cell

```
PrHoGa2Ru2
1.0
4.346 0.000 0.000
-2.173 3.764 0.000
0.000 0.000 7.566
Pr Ru Ga Ho
1 2 2 1
Direct
0.000 0.000 0.000 Pr
0.333 0.667 0.731 Ru
0.667 0.333 0.269 Ru
0.333 0.667 0.273 Ga
0.667 0.333 0.727 Ga
0.000 0.000 0.500 Ho
```

***

# 12
An optimized crystal structure of DyTa2Co9. Source: the Alexandria database, functional PBE.

Results
- DFT formation energy: -16 kJ/mol of atoms
- Mass density: 11.22 g/cm³
- Calculated total energy: -7.8573 eV/atom
- DOS(E_F): 17.693 states/eV per cell

```
DyTa2Co9
1.0
4.607 0.000 1.371
2.099 4.101 1.371
0.043 0.026 8.281
Co Ta Dy
9 2 1
Direct
0.590 0.590 0.741 Co
0.080 0.590 0.741 Co
0.590 0.080 0.741 Co
0.500 0.500 0.500 Co
0.664 0.664 0.007 Co
0.336 0.336 0.993 Co
0.410 0.410 0.259 Co
0.410 0.920 0.259 Co
0.920 0.410 0.259 Co
0.141 0.141 0.577 Ta
0.859 0.859 0.423 Ta
0.000 0.000 0.000 Dy
```

***

Short version: V = 287.85 146.84 206.97 89.12 122.73 100.63 109.79 199.53 95.76 56.99 123.76 156.10 Å³ per cell, in the order given.